<w>
ZnPW2 | PBE | optimized geometry

Cell: 4.409 4.409 4.409 Å, 60.00 60.00 60.00°
Element x y z (fractional)
Zn  0.250  0.250  0.250
P  0.500  0.500  0.500
W  0.000  0.000  0.000
W  0.750  0.750  0.750

- V (Å³/cell) = 60.58
- SG = F-43m


<x>
ZnPW2 | PBE | optimized geometry

Cell: 5.016 5.016 4.602 Å, 62.76 62.76 36.40°
Element x y z (fractional)
Zn  0.000  0.000  0.500
P  0.500  0.500  0.000
W  0.219  0.219  0.781
W  0.781  0.781  0.219

- V (Å³/cell) = 60.21
- SG = Immm


On energetic grounds, <x> is preferred over the next structure by 243 meV per atom.